CrIrOs4Ru2 after structural relaxation. Source: the Alexandria database, functional PBE.

a = 7.4338 Å, b = 7.4338 Å, c = 5.2821 Å
α = 110.85°, β = 110.85°, γ = 89.12°
Site moments in Bohr magnetons follow the coordinates.
Element x y z (fractional)
Cr: 0.5000 0.5000 0.5000  2.50
Cr: 0.0000 0.0000 0.0000  2.50
Ir: 0.0000 0.5000 0.0000  -0.03
Ir: 0.0000 0.5000 0.5000  -0.03
Os: 0.2722 0.7237 0.9988  -0.10
Os: 0.7763 0.2278 0.5012  -0.10
Os: 0.2237 0.7722 0.4988  -0.10
Os: 0.7278 0.2763 0.0012  -0.10
Os: 0.7405 0.7600 0.9831  -0.26
Os: 0.7400 0.7595 0.5169  -0.26
Os: 0.2600 0.2405 0.4831  -0.26
Os: 0.2595 0.2400 0.0169  -0.26
Ru: 0.5000 0.0000 0.0000  0.11
Ru: 0.5000 0.0000 0.5000  0.11
Ru: 0.0000 0.0000 0.5000  -0.02
Ru: 0.5000 0.5000 0.0000  -0.02

## Properties
The calculation puts the size of the total moment at 0.25 μB per atom. The value obtained for the energy of formation from the pure elements is 90.4 kJ/mol of atoms. The space-group type is Imma, No. 74.